Entry 1:
First-principles (PBE-GGA) data for a relaxed structure of CsY2Ir2, as listed in the Alexandria database.

```
CsY2Ir2
1.0
4.1127 0.0000 0.0000
0.0000 4.1127 0.0000
2.0563 2.0563 11.1594
Ir Y Cs
2 2 1
direct
0.2500 0.7500 0.5000
0.7500 0.2500 0.5000
0.6696 0.6696 0.6608
0.3304 0.3304 0.3392
0.0000 0.0000 0.0000
```

- Space-group type: I4/mmm
- ρ: 6.116 Mg/m³
- Total energy: -6.3219 eV/atom

***

Entry 2:
First-principles (PBE-GGA) data for a relaxed structure of Na3TePd3O8, as listed in the Alexandria database.

```
Na3TePd3O8
1.0
6.8229 0.0000 0.0000
-3.4115 5.5367 -0.2152
0.0000 -3.8626 5.6314
O Na Pd Te
8 3 3 1
direct
0.7232 0.4464 0.6476
0.1863 0.9617 0.6880
0.2125 0.4250 0.7501
0.7754 0.9617 0.6880
0.2246 0.0383 0.3120
0.8136 0.0383 0.3120
0.7875 0.5750 0.2499
0.2768 0.5536 0.3524
0.0000 0.5000 0.0000
0.0000 0.0000 0.0000
0.5000 0.5000 0.0000
0.0000 0.5000 0.5000
0.5000 0.5000 0.5000
0.5000 0.0000 0.5000
0.0000 0.0000 0.5000
```

- Space-group type: C2/m
- ρ: 5.163 Mg/m³
- Total energy: -5.0649 eV/atom
- Formation energy without anion corrections: -909 meV/atom

***

Entry 3:
First-principles (PBE-GGA) data for a relaxed structure of Hg2WAu, as listed in the Alexandria database.

```
Hg2WAu
1.0
-9.8757 0.0943 -3.0694
-8.6066 -0.3851 -5.7217
-9.1906 -2.6793 -3.9134
Hg Au W
2 1 1
direct
0.0051 0.0051 0.0051
0.2427 0.2427 0.2427
0.7563 0.7563 0.7563
0.4959 0.4959 0.4959
```

- Space-group type: R3m
- ρ: 16.567 Mg/m³
- Total energy: -3.7234 eV/atom

***

Entry 4:
First-principles (PBE-GGA) data for a relaxed structure of Tm4SiSb2, as listed in the Alexandria database.

```
Tm4SiSb2
1.0
-3.6579 -6.9709 1.4857
6.2911 0.8156 4.8926
-5.1446 6.0164 1.2274
Tm Sb Si
8 4 2
direct
0.7565 0.0583 0.6984
0.9421 0.2439 0.3019
0.3080 0.5060 0.1982
0.3599 0.0581 0.3016
0.3079 0.1098 0.8019
0.9420 0.6402 0.6980
0.4935 0.6918 0.8017
0.8901 0.6919 0.1983
0.1250 0.3751 0.7501
0.6250 0.3749 0.2499
0.6249 0.3750 0.7499
0.6250 0.8750 0.2501
0.2493 0.7493 0.5000
0.0007 0.0007 0.0000
```

- Space-group type: Imma
- ρ: 7.950 Mg/m³
- Total energy: -5.1572 eV/atom
- Formation energy without anion corrections: -650 meV/atom

***

Entry 5:
First-principles (PBE-GGA) data for a relaxed structure of Tm7Ni2Au2, as listed in the Alexandria database.

```
Tm7Ni2Au2
1.0
-1.3231 -0.3311 3.3832
-3.8298 -8.4128 -0.3547
4.7613 -7.2936 3.1146
Tm Au Ni
7 2 2
direct
0.8093 0.0940 0.2873
0.1396 0.1169 0.6039
0.5000 0.0129 0.9871
0.8604 0.3961 0.8831
0.1907 0.7127 0.9060
0.3800 0.7204 0.5196
0.6200 0.4804 0.2796
0.0000 0.7673 0.2327
0.5000 0.3465 0.6535
0.2559 0.3474 0.1407
0.7441 0.8593 0.6526
```

- Space-group type: Imm2
- ρ: 10.625 Mg/m³
- Total energy: -4.9930 eV/atom

***

Entry 6:
First-principles (PBE-GGA) data for a relaxed structure of Y4Te5H, as listed in the Alexandria database.

```
Y4Te5H
1.0
-0.6685 -0.4090 -4.3248
-6.5991 -9.4810 1.9167
-4.2517 6.4652 2.2793
Te Y H
5 4 1
direct
0.5000 0.5000 0.0000
0.1779 0.2679 0.3558
0.1459 0.8899 0.2918
0.8541 0.1101 0.7082
0.8221 0.7321 0.6442
0.9890 0.6685 0.9780
0.0110 0.3315 0.0220
0.3565 0.9227 0.7130
0.6435 0.0773 0.2870
0.5000 0.0000 0.0000
```

- Space-group type: C2/m
- ρ: 4.361 Mg/m³
- Total energy: -5.5683 eV/atom

***

Entry 7:
First-principles (PBE-GGA) data for a relaxed structure of Nd2TmLu, as listed in the Alexandria database.

```
Nd2TmLu
1.0
-1.9548 1.9496 4.1132
4.0479 -1.5873 2.6761
2.3712 4.4170 -0.9667
Nd Tm Lu
2 1 1
direct
0.0000 0.5000 0.0000
0.0000 0.0000 0.5000
0.5000 0.0000 0.0000
0.5000 0.5000 0.5000
```

- Space-group type: P4/mmm
- ρ: 8.132 Mg/m³
- Total energy: -4.6083 eV/atom

***

Entry 8:
First-principles (PBE-GGA) data for a relaxed structure of Mg2Se2N, as listed in the Alexandria database.

```
Mg2Se2N
1.0
-3.7571 -4.0897 4.6941
5.2192 -5.0580 -0.2293
1.6625 1.5922 2.7179
Se Mg N
4 4 2
direct
0.8411 0.6589 0.0000
0.1589 0.3411 0.0000
0.6589 0.1589 0.0000
0.3411 0.8411 0.0000
0.8454 0.3454 0.5000
0.6546 0.8454 0.5000
0.3454 0.1546 0.5000
0.1546 0.6546 0.5000
0.5000 0.5000 0.0000
0.0000 0.0000 0.0000
```

- Space-group type: P4/mbm
- ρ: 3.889 Mg/m³
- Total energy: -3.4521 eV/atom
- Formation energy without anion corrections: 245 meV/atom